Density functional theory data (PBE) for a relaxed structure of Zr2BeO.

Excess energy over the best structure of this formula in the dataset (eV per atom): 0.4923
Formation energy without anion corrections (meV per atom): -366
DFT total energy (eV per atom): -6.81

```
Zr2BeO
1.0
0.000 3.077 3.077
3.077 0.000 3.077
3.077 3.077 0.000
Zr Be O
2 1 1
Direct
0.250 0.250 0.250
0.750 0.750 0.750
0.000 0.000 0.000
0.500 0.500 0.500
```